The following is a DFT calculation (GGA-PBE) of a relaxed TlGeP2 crystal.

Cell and atoms, written as CIF:
```
data_TlGeP2
_cell_length_a 6.828
_cell_length_b 6.828
_cell_length_c 6.828
_cell_angle_alpha 90.00
_cell_angle_beta 90.00
_cell_angle_gamma 90.00
_space_group_name_H-M_alt 'F m -3 m'
_space_group_IT_number 225
_space_group_name_Hall '-F 4 2 3'
loop_
_atom_site_label
_atom_site_fract_x
_atom_site_fract_y
_atom_site_fract_z
Tl1 0.000 0.000 0.000
Ge1 0.000 0.000 0.500
P1 0.250 0.250 0.250
```

Crystal system: cubic
Calculated density, g/cm3: 7.1
DOS(E_F), states/eV/cell: 9.88
Energy relative to the elements, eV per atom: 0.621


The following is a DFT calculation (GGA-PBE) of a relaxed Tl2GeP crystal.

Cell and atoms, written as CIF:
```
data_Tl2GeP
_cell_length_a 7.263
_cell_length_b 7.263
_cell_length_c 7.263
_cell_angle_alpha 90.00
_cell_angle_beta 90.00
_cell_angle_gamma 90.00
_space_group_name_H-M_alt 'F m -3 m'
_space_group_IT_number 225
_space_group_name_Hall '-F 4 2 3'
loop_
_atom_site_label
_atom_site_fract_x
_atom_site_fract_y
_atom_site_fract_z
Tl1 0.250 0.250 0.250
Ge1 0.000 0.000 0.000
P1 0.000 0.000 0.500
```

Crystal system: cubic
Calculated density, g/cm3: 8.9
DOS(E_F), states/eV/cell: 10.82
Energy relative to the elements, eV per atom: 0.479


The following is a DFT calculation (GGA-PBE) of a relaxed TlGeP crystal.

Cell and atoms, written as CIF:
```
data_TlGeP
_cell_length_a 6.0300
_cell_length_b 6.0300
_cell_length_c 7.4115
_cell_angle_alpha 90.00
_cell_angle_beta 90.00
_cell_angle_gamma 120.00
_space_group_name_H-M_alt 'P 32'
_space_group_IT_number 145
loop_
_space_group_symop_operation_xyz
'x,y,z'
'-y,x-y,z+2/3'
'-x+y,-x,z+1/3'
loop_
_atom_site_label
_atom_site_fract_x
_atom_site_fract_y
_atom_site_fract_z
Tl1 0.1322 0.7687 0.0000
Ge1 0.3713 0.2726 0.1692
P1 0.2919 0.0215 0.4506
```

Crystal system: trigonal
Calculated density, g/cm3: 6.6
DOS(E_F), states/eV/cell: 2.65
Energy relative to the elements, eV per atom: 0.227


The following is a DFT calculation (GGA-PBE) of a relaxed TlGeP2 crystal.

Cell and atoms, written as CIF:
```
data_TlGeP2
_cell_length_a 3.7727
_cell_length_b 3.7727
_cell_length_c 19.6447
_cell_angle_alpha 90.00
_cell_angle_beta 90.00
_cell_angle_gamma 120.00
_space_group_name_H-M_alt 'R -3 m'
_space_group_IT_number 166
_space_group_name_Hall '-R 3 2"'
loop_
_atom_site_label
_atom_site_fract_x
_atom_site_fract_y
_atom_site_fract_z
Tl1 0.0000 0.0000 0.0000
Ge1 0.0000 0.0000 0.5000
P1 0.0000 0.0000 0.2361
```

Crystal system: trigonal
Calculated density, g/cm3: 7.0
DOS(E_F), states/eV/cell: 6.84
Energy relative to the elements, eV per atom: 0.232